! PBE La3PrDy6, relaxed; values from VASP
&SYSTEM
  ibrav = 0, nat = 20, ntyp = 3
/
ATOMIC_SPECIES
La 138.91 La.upf
Pr 140.91 Pr.upf
Dy 162.50 Dy.upf
CELL_PARAMETERS angstrom
6.8572 -7.3294 0.0000
6.8572 7.3294 0.0000
0.0000 0.0000 6.9042
ATOMIC_POSITIONS crystal
La 0.1030 0.8970 0.5000
La 0.2580 0.3317 0.2195
La 0.3317 0.2580 0.7195
La 0.6683 0.7420 0.2195
La 0.7420 0.6683 0.7195
La 0.8970 0.1030 0.0000
Pr 0.3092 0.6908 0.6804
Pr 0.6908 0.3092 0.1804
Dy 0.0124 0.2194 0.5049
Dy 0.0260 0.4502 0.8925
Dy 0.2194 0.0124 0.0049
Dy 0.2869 0.7131 0.1864
Dy 0.4502 0.0260 0.3925
Dy 0.4882 0.5118 0.9528
Dy 0.5118 0.4882 0.4528
Dy 0.5498 0.9740 0.8925
Dy 0.7131 0.2869 0.6864
Dy 0.7806 0.9876 0.5049
Dy 0.9740 0.5498 0.3925
Dy 0.9876 0.7806 0.0049
! * energy relative to the elements: 4.9 kcal/mol of atoms
! * D(E_F): 1.568 states/eV/atom
! * SG: Cmc2_1